Below is Sr4V3CdO12 after structural relaxation, with properties calculated at the GGA+U level.

DFT total energy: -6.735 eV/atom
size of the total moment: 0.0500 μB/atom

a b c (Å): 7.9900 7.9900 7.9900
angles (deg): 90.00 90.00 90.00
Last column: nearest neighbours and their distance in Å.
Space group Im-3m (No. 229)
Symmetry-distinct sites (fractional):
Sr 0.2500 0.2500 0.2500 x8  12 O 2.82-2.83
V 0.0000 0.0000 0.5000 x6  6 O 1.81-2.00
Cd 0.0000 0.0000 0.0000 x2  6 O 2.19
O 0.0000 0.0000 0.2736 x12  1 V 1.81
O 0.0000 0.2500 0.5000 x12  2 V 2.00